The following is a DFT calculation (GGA-PBE) of a relaxed structure of Hf2S.

Calculated values
Magnetization in Bohr magnetons per cell: 0.022
DFT total energy in eV/atom: -6.56

Lattice parameters (Å, degrees): 7.7453 7.7453 7.7453 60.00 60.00 60.00
Fractional positions:
Hf (0.0000, 0.0000, 0.0000)
Hf (0.0000, 0.0000, 0.5000)
Hf (0.0000, 0.5000, 0.0000)
Hf (0.5000, 0.0000, 0.0000)
S (0.1250, 0.1250, 0.1250)
S (0.8750, 0.8750, 0.8750)

The following is a DFT calculation (GGA-PBE) of a relaxed structure of Li2UBr6.

Calculated values
Energy above the lowest structure with this stoichiometry in eV per atom: 0.022
Magnetization in Bohr magnetons per cell: 1.999

Lattice parameters (Å, degrees): 6.9116 6.9116 6.9424 100.68 100.68 118.40
Fractional positions:
Li (0.1613, 0.8387, 0.0000)
Li (0.8387, 0.1613, 0.0000)
U (0.0000, 0.0000, 0.5000)
Br (0.0679, 0.3992, 0.7640)
Br (0.2358, 0.2358, 0.2555)
Br (0.3992, 0.0679, 0.7640)
Br (0.6008, 0.9321, 0.2360)
Br (0.7642, 0.7642, 0.7445)
Br (0.9321, 0.6008, 0.2360)

The following is a DFT calculation (GGA-PBE) of a relaxed structure of Lu2Hf4Cd3C3.

Calculated values
Magnetization in Bohr magnetons per cell: 0.005
DFT total energy in eV/atom: -7.13

Lattice parameters (Å, degrees): 5.8207 5.8207 15.5582 101.05 101.05 60.03
Fractional positions:
Lu (0.0340, 0.8735, 0.5991)
Lu (0.1265, 0.9660, 0.9009)
Lu (0.8735, 0.0340, 0.0991)
Lu (0.9660, 0.1265, 0.4009)
Hf (0.1923, 0.3516, 0.0770)
Hf (0.2989, 0.4828, 0.4229)
Hf (0.3516, 0.1923, 0.5770)
Hf (0.4828, 0.2989, 0.9229)
Hf (0.5172, 0.7011, 0.0771)
Hf (0.6484, 0.8077, 0.4230)
Hf (0.7011, 0.5172, 0.5771)
Hf (0.8077, 0.6484, 0.9230)
Cd (0.0862, 0.3848, 0.7504)
Cd (0.3848, 0.0862, 0.2504)
Cd (0.4422, 0.5578, 0.2500)
Cd (0.5578, 0.4422, 0.7500)
Cd (0.6152, 0.9138, 0.7496)
Cd (0.9138, 0.6152, 0.2496)
C (0.0000, 0.5000, 0.5000)
C (0.1718, 0.6563, 0.0000)
C (0.3437, 0.8282, 0.5000)
C (0.5000, 0.0000, 0.0000)
C (0.6563, 0.1718, 0.5000)
C (0.8282, 0.3437, 0.0000)

The following is a DFT calculation (GGA-PBE) of a relaxed structure of Li2Mg2GaSiNi2.

Calculated values
Magnetization in Bohr magnetons per cell: 0.002
DFT total energy in eV/atom: -3.65

Lattice parameters (Å, degrees): 4.2177 4.2177 5.9692 90.00 90.00 90.00
Fractional positions:
Li (0.0000, 0.5000, 0.2452)
Li (0.5000, 0.0000, 0.7548)
Mg (0.0000, 0.0000, 0.0000)
Mg (0.5000, 0.5000, 0.5000)
Ga (0.0000, 0.0000, 0.5000)
Si (0.5000, 0.5000, 0.0000)
Ni (0.0000, 0.5000, 0.7628)
Ni (0.5000, 0.0000, 0.2372)